Record 1
A relaxed structure of K3BaPb. Source: Alexandria via LeMat-Bulk, functional GGA-PBE.

```
5
Lattice="-3.5604 5.8792 0.0430 -4.0540 -2.4186 -4.9959 -4.2581 -2.6132 4.7204" Properties=species:S:1:pos:R:3 pbc="T T T"
Pb 0.0000 0.0000 0.0000
K -2.0270 -1.2093 -2.4979
K -2.1291 -1.3066 2.3602
K -1.7802 2.9396 0.0215
Ba -5.9363 0.4237 -0.1162
```

Output
**SG**: Pm-3m
**VASP energy**: -1.63 eV per atom


Record 2
A relaxed structure of Er12Tm7Sc. Source: Alexandria via LeMat-Bulk, functional GGA-PBE.

```
20
Lattice="6.2763 0.0000 1.8161 -3.5661 9.1851 4.4887 -0.8559 0.0000 10.7935" Properties=species:S:1:pos:R:3 pbc="T T T"
Er 2.8440 4.4131 4.1989
Er -2.5482 8.5833 10.4499
Er 0.9574 1.9341 3.7566
Er -0.1064 7.2575 8.9733
Er 2.2866 5.0150 9.4121
Er 3.5350 3.8617 12.0601
Er -1.6807 5.3234 5.0382
Er -0.4323 4.1701 7.6862
Er 1.9606 1.9276 8.1250
Er 0.8969 7.2510 13.3417
Er 4.4025 0.6019 6.6484
Er -0.9898 4.7720 12.8994
Tm 4.4011 1.5328 3.6366
Tm -3.0063 7.9856 7.2141
Tm 0.4418 2.7323 10.9687
Tm 3.1382 0.0000 0.9081
Tm 1.4125 6.4529 6.1296
Tm 4.8606 1.1995 9.8842
Tm -2.5468 7.6524 13.4617
Sc 0.0000 0.0000 0.0000
```

Output
**SG**: R-3
**VASP energy**: -4.30 eV per atom


Record 3
A relaxed structure of YScIr2. Source: Alexandria via LeMat-Bulk, functional GGA-PBE.

```
4
Lattice="-1.3161 4.0939 1.8451 -4.0596 0.3310 2.3037 -0.0147 0.5767 4.6437" Properties=species:S:1:pos:R:3 pbc="T T T"
Ir 0.0000 0.0000 0.0000
Ir -1.3476 1.2504 2.1981
Sc -2.6952 2.5008 4.3963
Y -4.0428 3.7512 6.5944
```

Output
**SG**: F-43m
**VASP energy**: -7.96 eV per atom


Record 4
A relaxed structure of CoCuSb6. Source: Alexandria via LeMat-Bulk, functional GGA-PBE.

```
16
Lattice="7.6442 -0.0940 -2.6690 -3.8393 6.6172 -2.6530 -0.0134 0.0023 8.0121" Properties=species:S:1:pos:R:3 pbc="T T T"
Co -1.9197 3.3086 -1.3265
Co 3.8221 -0.0470 -1.3345
Cu -0.0067 0.0012 4.0060
Cu 1.8957 3.2627 1.3450
Sb -1.3793 4.4259 4.4387
Sb 5.1707 2.0996 -1.7486
Sb 3.9299 4.2249 -0.0308
Sb -0.1385 2.3006 2.7208
Sb 5.6139 1.0323 2.7249
Sb -1.8224 5.4932 -0.0349
Sb 0.5628 5.5719 1.7669
Sb 3.2287 0.9535 0.9231
Sb 1.8399 5.3581 -2.7269
Sb 1.9516 1.1674 5.4169
Sb 3.1809 3.2750 3.6974
Sb 0.6105 3.2505 -1.0074
```

Output
**SG**: C2/m
**Formation energy without anion corrections**: -0.041 eV/atom
**VASP energy**: -4.53 eV per atom


Record 5
A relaxed structure of Ho2CuPd9. Source: Alexandria via LeMat-Bulk, functional GGA-PBE.

```
12
Lattice="4.0679 0.0000 0.0000 0.0000 4.0679 0.0000 0.0000 0.0000 12.0273" Properties=species:S:1:pos:R:3 pbc="T T T"
Ho 0.0000 0.0000 3.9147
Ho 0.0000 0.0000 8.1126
Cu 0.0000 0.0000 0.0000
Pd 2.0340 2.0340 0.0000
Pd 2.0340 2.0340 3.9388
Pd 2.0340 2.0340 8.0886
Pd 2.0340 0.0000 1.8467
Pd 2.0340 0.0000 6.0137
Pd 2.0340 0.0000 10.1806
Pd 0.0000 2.0340 1.8467
Pd 0.0000 2.0340 6.0137
Pd 0.0000 2.0340 10.1806
```

Output
**SG**: P4/mmm
**VASP energy**: -5.59 eV per atom


Record 6
A relaxed structure of Zn2MoBr. Source: Alexandria via LeMat-Bulk, functional GGA-PBE.

```
4
Lattice="9.0489 -0.0149 -0.0088 8.5099 3.0763 -0.0088 8.5099 1.4837 2.6949" Properties=species:S:1:pos:R:3 pbc="T T T"
Br 13.4613 2.3470 1.3825
Mo 6.5570 1.1432 0.6734
Zn 25.9535 4.5251 2.6655
Zn 19.1999 3.3476 1.9719
```

Output
**SG**: R3m
**Formation energy without anion corrections**: 0.285 eV/atom
**VASP energy**: -3.48 eV per atom


Record 7
A relaxed structure of AcSi2Rh2. Source: Alexandria via LeMat-Bulk, functional GGA-PBE.

```
5
Lattice="3.9042 0.1659 -1.4684 -0.7211 3.8344 -1.4844 0.0818 0.1299 6.1658" Properties=species:S:1:pos:R:3 pbc="T T T"
Ac 0.0000 0.0000 0.0000
Si 1.2186 1.5510 3.4148
Si 2.0462 2.5792 -0.2018
Rh 2.7888 1.1480 1.6104
Rh 0.4761 2.9822 1.6025
```

Output
**SG**: I4/mmm
**Formation energy without anion corrections**: -0.991 eV/atom
**VASP energy**: -6.92 eV per atom


Record 8
A relaxed structure of ReSiSe. Source: Alexandria via LeMat-Bulk, functional GGA-PBE.

```
3
Lattice="-1.8051 -3.7917 0.0188 -0.4526 -2.0922 3.6130 -3.8193 -0.4990 1.6732" Properties=species:S:1:pos:R:3 pbc="T T T"
Re 0.0000 0.0000 0.0000
Se -3.0385 -3.1915 2.6525
Si -4.5578 -4.7872 3.9788
```

Output
**SG**: F-43m
**Formation energy without anion corrections**: 0.814 eV/atom
**VASP energy**: -6.30 eV per atom


Record 9
A relaxed structure of K2MnPb. Source: Alexandria via LeMat-Bulk, functional GGA-PBE.

```
4
Lattice="-0.6961 -2.0906 6.3199 5.4517 -1.1931 3.6948 -2.3937 4.8441 -3.9498" Properties=species:S:1:pos:R:3 pbc="T T T"
K 0.0000 0.0000 0.0000
K 2.3778 -1.6419 5.0073
Mn 2.7179 1.0046 2.3762
Pb -0.3560 0.5558 3.6887
```

Output
**SG**: I4/mmm
**VASP energy**: -3.29 eV per atom


Record 10
A relaxed structure of LaScAs2. Source: Alexandria via LeMat-Bulk, functional GGA-PBE.

```
4
Lattice="7.5162 0.0006 -0.0024 5.6033 5.0096 0.0024 -6.5239 -2.5990 2.6790" Properties=species:S:1:pos:R:3 pbc="T T T"
As 0.7601 0.2903 0.0000
As 4.1780 0.1069 1.3383
La 5.9735 2.2812 0.0000
Sc 2.2437 2.2380 1.3407
```

Output
**SG**: Imm2
**VASP energy**: -6.28 eV per atom


Record 11
A relaxed structure of MgTl2In2. Source: Alexandria via LeMat-Bulk, functional GGA-PBE.

```
10
Lattice="-1.1735 -1.5539 -7.5698 -4.5813 -6.0261 1.9472 -3.7736 2.8677 -0.0037" Properties=species:S:1:pos:R:3 pbc="T T T"
Tl -5.1437 -2.8518 0.0278
Tl -6.4827 -4.6183 -3.4374
Tl -4.3847 -1.8604 -5.6540
Tl -3.0457 -0.0940 -2.1889
Mg 0.0000 0.0000 0.0000
Mg -2.8774 -3.7900 -2.8113
In -4.3705 -5.7525 -1.0584
In -3.9365 -5.1868 -5.2772
In -1.3843 -1.8275 -4.5642
In -1.8184 -2.3932 -0.3454
```

Output
**SG**: P4/mbm
**VASP energy**: -2.29 eV per atom


Record 12
A relaxed structure of ThCd2Au. Source: Alexandria via LeMat-Bulk, functional GGA-PBE.

```
4
Lattice="-1.6673 -2.3126 1.6079 0.5348 -3.1610 -0.6603 7.4655 -2.1106 8.0373" Properties=species:S:1:pos:R:3 pbc="T T T"
Au 3.1664 -3.7921 4.4925
Th 0.0000 0.0000 0.0000
Cd 5.1379 -2.0257 5.7458
Cd 1.1950 -5.5585 3.2391
```

Output
**SG**: R-3m
**VASP energy**: -2.94 eV per atom


Record 13
A relaxed structure of LaMg2Cu. Source: Alexandria via LeMat-Bulk, functional GGA-PBE.

```
4
Lattice="-1.9888 -3.2105 2.1631 -1.8768 -1.3183 -3.6822 4.0345 -3.1297 -0.9358" Properties=species:S:1:pos:R:3 pbc="T T T"
Cu 1.0229 -3.1701 0.6136
La 1.0788 -2.2240 -2.3090
Mg 0.0000 0.0000 0.0000
Mg -1.9328 -2.2644 -0.7595
```

Output
**SG**: Pmmm
**VASP energy**: -3.03 eV per atom


Record 14
A relaxed structure of AcPuF4. Source: Alexandria via LeMat-Bulk, functional GGA-PBE.

```
6
Lattice="4.0744 0.0000 -0.0018 -0.0001 4.0742 -0.0026 0.0027 0.0043 6.4717" Properties=species:S:1:pos:R:3 pbc="T T T"
Ac 2.0451 2.0302 6.4575
Pu 0.0065 4.0652 3.2212
F 2.0431 4.0645 1.7805
F 2.0443 4.0663 4.6601
F 0.0071 2.0290 4.6625
F 0.0059 2.0273 1.7826
```

Output
**SG**: P4/mmm
**Formation energy without anion corrections**: -3.294 eV/atom
**VASP energy**: -7.61 eV per atom


Record 15
A relaxed structure of NaAu3Br. Source: Alexandria via LeMat-Bulk, functional GGA-PBE.

```
5
Lattice="5.0959 0.0000 0.0000 0.0000 5.0959 0.0000 0.0000 0.0000 5.0959" Properties=species:S:1:pos:R:3 pbc="T T T"
Na 0.0000 0.0000 0.0000
Au 0.0000 2.5479 0.0000
Au 0.0000 0.0000 2.5479
Au 2.5479 0.0000 0.0000
Br 2.5479 2.5479 2.5479
```

Output
**SG**: Pm-3m
**Formation energy without anion corrections**: 0.830 eV/atom
**VASP energy**: -1.73 eV per atom


Record 16
A relaxed structure of Ti2PCN. Source: Alexandria via LeMat-Bulk, functional GGA-PBE.

```
5
Lattice="4.3135 0.0000 0.0000 0.0000 3.1159 0.0000 0.0000 0.0000 4.3135" Properties=species:S:1:pos:R:3 pbc="T T T"
P 2.1568 1.5580 2.1568
C 0.0000 0.0000 0.0000
N 0.0000 1.5580 0.0000
Ti 0.0000 0.0000 2.1568
Ti 2.1568 0.0000 0.0000
```

Output
**SG**: P4/mmm
**Formation energy without anion corrections**: 0.144 eV/atom
**VASP energy**: -7.61 eV per atom


Record 17
A relaxed structure of BeNb4Co. Source: Alexandria via LeMat-Bulk, functional GGA-PBE.

```
12
Lattice="-0.9733 -3.5012 -4.9891 6.0904 -0.7563 -0.6574 -2.7502 -1.9126 5.6968" Properties=species:S:1:pos:R:3 pbc="T T T"
Be -0.0958 -2.0207 1.4368
Be 2.4627 -4.1495 -1.3865
Nb 4.6936 -2.8978 -1.4201
Nb 3.2036 -4.5238 -3.8063
Nb 1.8087 -1.9428 -0.2695
Nb 0.5581 -4.2273 0.3197
Nb -0.8367 -1.6463 3.8566
Nb -2.3267 -3.2724 1.4704
Nb 2.0481 -2.6013 2.7060
Nb 0.3187 -3.5688 -2.6557
Co 2.5585 -2.1288 -2.8232
Co 0.0000 0.0000 0.0000
```

Output
**SG**: I4/mcm
**VASP energy**: -8.48 eV per atom


Record 18
A relaxed structure of Pm2BeHPd6. Source: Alexandria via LeMat-Bulk, functional GGA-PBE.

```
10
Lattice="5.8603 -0.0218 -0.0333 -0.0355 6.3736 0.3762 2.8828 3.4294 4.5159" Properties=species:S:1:pos:R:3 pbc="T T T"
Pm 5.8141 3.1287 2.2103
Pm 2.8935 6.6525 2.6485
Be 2.9124 3.1759 0.1715
H 0.0000 0.0000 0.0000
Pd 2.8829 3.4479 2.4541
Pd 4.3748 4.9155 0.3515
Pd 1.4284 4.9237 0.3818
Pd 7.2792 4.8575 4.4770
Pd 4.3328 4.8658 4.5073
Pd 5.8247 6.3334 2.4047
```

Output
**SG**: P-1
**VASP energy**: -5.47 eV per atom


Record 19
A relaxed structure of NdEuHg2. Source: Alexandria via LeMat-Bulk, functional GGA-PBE.

```
4
Lattice="-4.3030 -2.8129 1.8258 -0.4438 -5.3250 -1.0996 0.6325 -3.6704 3.9862" Properties=species:S:1:pos:R:3 pbc="T T T"
Eu -1.0286 -2.9521 1.1781
Nd -3.0857 -8.8562 3.5343
Hg 0.0000 0.0000 0.0000
Hg -2.0571 -5.9041 2.3562
```

Output
**SG**: Fm-3m
**VASP energy**: -4.42 eV per atom


Record 20
A relaxed structure of Pr4CoNi. Source: Alexandria via LeMat-Bulk, functional GGA-PBE.

```
12
Lattice="-5.2478 0.3096 -0.9583 -0.6689 -0.9288 7.4438 0.3049 8.5595 1.0954" Properties=species:S:1:pos:R:3 pbc="T T T"
Pr -2.8795 6.0895 4.2664
Pr -2.7323 1.8508 3.3145
Pr -2.7647 5.6445 7.7120
Pr -2.8470 2.2958 -0.1311
Pr -0.5495 -0.3051 5.5670
Pr -5.1876 4.7277 1.5638
Pr -0.4242 3.2127 6.0171
Pr -5.0623 8.2455 2.0139
Co -0.3782 5.8767 5.2329
Co -5.2336 2.0636 2.3480
Ni -5.2678 5.8595 6.7286
Ni -0.3439 2.0808 0.8523
```

Output
**SG**: P2_1/m
**VASP energy**: -5.39 eV per atom